(1)
A relaxed structure of Li3AsPd4. Source: OQMD, functional PBE.

Calculated values
* VASP energy: -4.40 eV per atom

abc: 9.016 4.771 5.317
angles: 90.00 90.00 90.00
Atoms (fractional coordinates):
As 0.500 0.214 0.530
Pd 0.260 0.469 0.583
Li 0.749 0.010 0.300
Li 0.751 0.990 0.800
Pd 0.500 0.722 0.333
Pd 0.240 0.531 0.083
Li 0.251 0.010 0.300
Li 0.000 0.304 0.331
Pd 0.000 0.278 0.833
As 0.000 0.786 0.030
Li 0.249 0.990 0.800
Pd 0.500 0.210 0.026
Pd 0.760 0.531 0.083
Pd 0.740 0.469 0.583
Pd 0.000 0.790 0.526
Li 0.500 0.696 0.831

=====

(2)
A relaxed structure of Sc2AlGaPd4. Source: OQMD, functional PBE.

Calculated values
* VASP energy: -5.89 eV per atom
* E above lowest polymorph: 27 kJ/mol of formula units

abc: 4.302 4.302 8.701
angles: 90.00 90.00 120.00
Atoms (fractional coordinates):
Pd 0.667 0.333 0.913
Sc 0.667 0.333 0.249
Pd 0.333 0.667 0.415
Sc 0.333 0.667 0.751
Al 0.000 0.000 0.500
Pd 0.333 0.667 0.087
Pd 0.667 0.333 0.585
Ga 0.000 0.000 0.000

=====

(3)
A relaxed structure of ThPaOs. Source: OQMD, functional PBE.

Calculated values
* VASP energy: -9.34 eV per atom
* E above lowest polymorph: 0 kJ/mol of formula units
* ΔE_f: 0.04 eV/atom

abc: 4.855 4.855 4.855
angles: 60.00 60.00 60.00
Atoms (fractional coordinates):
Pa 0.250 0.250 0.250
Os 0.000 0.000 0.000
Th 0.750 0.750 0.750

=====

(4)
A relaxed structure of LiAgSbPd. Source: OQMD, functional PBE.

Calculated values
* VASP energy: -3.91 eV per atom
* E above lowest polymorph: 0 kJ/mol of formula units

abc: 4.626 4.626 4.626
angles: 60.00 60.00 60.00
Atoms (fractional coordinates):
Ag 0.500 0.500 0.500
Pd 0.000 0.000 0.000
Sb 0.250 0.250 0.250
Li 0.750 0.750 0.750

=====

(5)
A relaxed structure of Ho2Ni12P7. Source: OQMD, functional PBE.

Calculated values
* VASP energy: -6.20 eV per atom

abc: 9.015 9.014 3.678
angles: 90.00 90.00 120.00
Atoms (fractional coordinates):
Ni 0.094 0.878 0.000
P 0.113 0.408 0.500
Ho 0.667 0.333 0.500
Ni 0.951 0.382 0.000
Ni 0.618 0.569 0.000
Ni 0.122 0.216 0.000
P 0.592 0.706 0.500
Ni 0.784 0.906 0.000
Ni 0.061 0.626 0.500
Ni 0.274 0.122 0.500
P 0.889 0.595 0.000
Ni 0.566 0.939 0.500
P 0.000 0.000 0.500
P 0.294 0.887 0.500
Ni 0.848 0.726 0.500
Ni 0.374 0.434 0.500
Ni 0.431 0.049 0.000
Ho 0.333 0.667 0.000
Ni 0.878 0.152 0.500
P 0.706 0.111 0.000
P 0.405 0.294 0.000

=====

(6)
A relaxed structure of AcB4Os. Source: OQMD, functional PBE.

Calculated values
* VASP energy: -6.81 eV per atom
* E above lowest polymorph: 0 kJ/mol of formula units

abc: 3.282 3.282 7.377
angles: 90.00 90.00 120.00
Atoms (fractional coordinates):
B 0.667 0.333 0.694
B 0.667 0.333 0.306
Ac 0.000 0.000 0.000
B 0.333 0.667 0.694
Os 0.000 0.000 0.500
B 0.333 0.667 0.306

=====

(7)
A relaxed structure of Er5B2O6F9. Source: OQMD, functional PBE.

Calculated values
* VASP energy: -7.43 eV per atom

abc: 10.453 10.453 8.147
angles: 99.76 99.76 33.30
Atoms (fractional coordinates):
F 0.714 0.348 0.487
O 0.402 0.278 0.961
F 0.500 0.948 0.787
F 0.348 0.714 0.987
B 0.706 0.516 0.063
Er 0.572 0.816 0.320
O 0.278 0.402 0.461
O 0.490 0.695 0.717
Er 0.816 0.572 0.820
F 0.139 0.283 0.981
O 0.305 0.510 0.783
Er 0.998 0.222 0.405
F 0.941 0.796 0.316
Er 0.389 0.611 0.250
F 0.010 0.990 0.250
O 0.350 0.832 0.434
O 0.722 0.598 0.539
F 0.861 0.717 0.019
O 0.695 0.490 0.217
F 0.796 0.941 0.816
Er 0.428 0.184 0.680
B 0.294 0.484 0.937
Er 0.222 0.998 0.905
O 0.650 0.168 0.566
O 0.832 0.350 0.934
B 0.484 0.294 0.437
F 0.204 0.059 0.184
F 0.990 0.010 0.750
F 0.059 0.204 0.684
F 0.283 0.139 0.481
O 0.510 0.305 0.283
F 0.500 0.052 0.213
F 0.286 0.652 0.513
Er 0.778 0.002 0.095
Er 0.184 0.428 0.180
B 0.516 0.706 0.563
Er 0.611 0.389 0.750
F 0.052 0.500 0.713
O 0.598 0.722 0.039
F 0.717 0.861 0.519
Er 0.002 0.778 0.595
F 0.948 0.500 0.287
F 0.652 0.286 0.013
O 0.168 0.650 0.066

=====

(8)
A relaxed structure of Ga2CoCu5. Source: OQMD, functional PBE.

Calculated values
* VASP energy: -3.98 eV per atom

abc: 4.088 4.088 5.816
angles: 90.00 90.00 90.00
Atoms (fractional coordinates):
Cu 0.500 0.000 0.250
Cu 0.500 0.000 0.750
Ga 0.500 0.500 0.500
Cu 0.000 0.500 0.750
Cu 0.500 0.500 0.000
Ga 0.000 0.000 0.000
Cu 0.000 0.500 0.250
Co 0.000 0.000 0.500